Entry 1:
First-principles (PBE) data for SmMgAs after structural relaxation, as listed in the Open Quantum Materials Database.

The value obtained for the size of the total moment is 0.000 μB/atom. The crystal system is cubic. As for the symmetry: F-43m (216). Its polymorph energy (0 for the lowest one) is 289 meV per atom. The uncorrected energy is -3.882 eV/atom.

Lattice parameters (Å, degrees): 4.9430 4.9430 4.9430 60.00 60.00 60.00
Fractional coordinates of all 3 atoms:
As: 0.2500 0.2500 0.2500
Mg: 0.7500 0.7500 0.7500
Sm: 0.0000 0.0000 0.0000



Entry 2:
First-principles (PBE) data for SmMgAs after structural relaxation, as listed in the Open Quantum Materials Database.

The value obtained for the size of the total moment is 0.005 μB/atom. The crystal system is cubic. As for the symmetry: F-43m (216). Its polymorph energy (0 for the lowest one) is 0 meV per atom. The uncorrected energy is -4.172 eV/atom.

Lattice parameters (Å, degrees): 4.7557 4.7557 4.7557 60.00 60.00 60.00
Fractional coordinates of all 3 atoms:
As: 0.0000 0.0000 0.0000
Mg: 0.2500 0.2500 0.2500
Sm: 0.7500 0.7500 0.7500



Entry 3:
First-principles (PBE) data for MgTcSnAs after structural relaxation, as listed in the Open Quantum Materials Database.

The value obtained for the size of the total moment is 0.003 μB/atom. The crystal system is cubic. As for the symmetry: F-43m (216). Its polymorph energy (0 for the lowest one) is 0 meV per atom. The uncorrected energy is -5.024 eV/atom.

Lattice parameters (Å, degrees): 4.6561 4.6561 4.6561 60.00 60.00 60.00
Fractional coordinates of all 4 atoms:
As: 0.5000 0.5000 0.5000
Mg: 0.7500 0.7500 0.7500
Sn: 0.0000 0.0000 0.0000
Tc: 0.2500 0.2500 0.2500



Entry 4:
First-principles (PBE) data for MgZnSn2As4 after structural relaxation, as listed in the Open Quantum Materials Database.

The crystal system is tetragonal. As for the symmetry: I-4 (82). The uncorrected energy is -3.929 eV/atom.

Lattice parameters (Å, degrees): 7.3895 7.3895 7.3895 131.91 131.91 70.37
Fractional coordinates of all 8 atoms:
As: 0.1202 0.6423 0.0054
As: 0.3577 0.3631 0.4779
As: 0.8852 0.8798 0.5221
As: 0.6369 0.1148 0.9946
Mg: 0.2500 0.7500 0.5000
Sn: 0.5000 0.5000 0.0000
Sn: 0.7500 0.2500 0.5000
Zn: 0.0000 0.0000 0.0000



Entry 5:
First-principles (PBE) data for MgTa2As after structural relaxation, as listed in the Open Quantum Materials Database.

The value obtained for the size of the total moment is 0.000 μB/atom. The crystal system is cubic. As for the symmetry: F-43m (216). The uncorrected energy is -7.129 eV/atom.

Lattice parameters (Å, degrees): 4.6345 4.6345 4.6345 60.00 60.00 60.00
Fractional coordinates of all 4 atoms:
As: 0.5000 0.5000 0.5000
Mg: 0.2500 0.2500 0.2500
Ta: 0.0000 0.0000 0.0000
Ta: 0.7500 0.7500 0.7500



Entry 6:
First-principles (PBE) data for MgTaTeAs after structural relaxation, as listed in the Open Quantum Materials Database.

The value obtained for the size of the total moment is 0.322 μB/atom. The crystal system is cubic. As for the symmetry: F-43m (216). Its polymorph energy (0 for the lowest one) is 505 meV per atom. The uncorrected energy is -4.725 eV/atom.

Lattice parameters (Å, degrees): 4.8850 4.8850 4.8850 60.00 60.00 60.00
Fractional coordinates of all 4 atoms:
As: 0.5000 0.5000 0.5000
Mg: 0.7500 0.7500 0.7500
Ta: 0.0000 0.0000 0.0000
Te: 0.2500 0.2500 0.2500



Question: Number 2 is which compound?
Answer: SmMgAs